The following is a DFT calculation (PBE with a Hubbard U) of a relaxed structure of NiBIO2.

a b c (Å): 3.559 3.559 6.943
angles (deg): 90.00 90.00 90.00
Element x y z (fractional)
1 B 0.500 0.500 0.500
2 O 0.500 0.000 0.000
3 O 0.000 0.500 0.000
4 I 0.000 0.000 0.500
5 Ni 0.000 0.000 0.000

Properties
- Density of states at the Fermi level: 2.15 states/eV per cell
- Raw total energy: -3.36 eV/atom
- Polymorph energy (0 for the lowest one): 542.1 meV per atom
- SG: P4/mmm, No. 123